No. 1
Below is a geometry-optimized Ga3IrOs structure, with properties calculated at the GGA-PBE level.

Computed properties:
The energy of formation comes out at 4.28 eV/f.u. The energy above the most stable polymorph in this dataset is 0.00 kJ/mol of atoms.

abc: 4.696 4.696 4.696
angles: 90.00 90.00 90.00
Element x y z (fractional)
1 Ga 0.000 0.000 0.500
2 Ga 0.000 0.500 0.000
3 Ga 0.500 0.000 0.000
4 Ir 0.500 0.500 0.500
5 Os 0.000 0.000 0.000

=====

No. 2
Below is a geometry-optimized AsBrCl2 structure, with properties calculated at the GGA-PBE level.

Computed properties:
As for the uncorrected formation energy: 0.107 eV per atom. The energy above the most stable polymorph in this dataset is 70.07 kJ/mol of atoms.

abc: 3.584 7.122 9.995
angles: 90.00 90.00 90.00
Element x y z (fractional)
1 As 0.000 0.000 0.000
2 As 0.500 0.500 0.000
3 Br 0.000 0.500 0.191
4 Br 0.500 0.000 0.191
5 Cl 0.000 0.000 0.500
6 Cl 0.000 0.500 0.826
7 Cl 0.500 0.000 0.826
8 Cl 0.500 0.500 0.500

=====

No. 3
Below is a geometry-optimized In3Ir structure, with properties calculated at the GGA-PBE level.

Computed properties:
The energy of formation comes out at 0.66 eV/f.u.

abc: 9.736 3.392 5.067
angles: 90.00 99.31 90.00
Element x y z (fractional)
1 In 0.000 0.000 0.000
2 In 0.235 0.000 0.728
3 In 0.265 0.500 0.272
4 In 0.500 0.500 0.000
5 In 0.735 0.500 0.728
6 In 0.765 0.000 0.272
7 Ir 0.000 0.500 0.500
8 Ir 0.500 0.000 0.500

=====

No. 4
Below is a geometry-optimized K3MgSb2O6 structure, with properties calculated at the GGA-PBE level.

Computed properties:
As for the uncorrected formation energy: -1.592 eV per atom.

abc: 6.027 6.027 7.032
angles: 90.00 90.00 120.00
Element x y z (fractional)
1 K 0.000 0.000 0.000
2 K 0.333 0.667 0.653
3 K 0.667 0.333 0.347
4 Mg 0.000 0.000 0.500
5 Sb 0.333 0.667 0.197
6 Sb 0.667 0.333 0.803
7 O 0.166 0.333 0.317
8 O 0.166 0.834 0.317
9 O 0.333 0.166 0.683
10 O 0.667 0.834 0.317
11 O 0.834 0.166 0.683
12 O 0.834 0.667 0.683

=====

No. 5
Below is a geometry-optimized LaSn2Ir structure, with properties calculated at the GGA-PBE level.

Computed properties:
The energy of formation comes out at -0.95 eV/f.u.

abc: 7.168 7.168 7.168
angles: 90.00 90.00 90.00
Element x y z (fractional)
1 La 0.000 0.000 0.000
2 La 0.000 0.500 0.500
3 La 0.500 0.000 0.500
4 La 0.500 0.500 0.000
5 Sn 0.250 0.250 0.250
6 Sn 0.250 0.250 0.750
7 Sn 0.250 0.750 0.250
8 Sn 0.250 0.750 0.750
9 Sn 0.750 0.250 0.250
10 Sn 0.750 0.250 0.750
11 Sn 0.750 0.750 0.250
12 Sn 0.750 0.750 0.750
13 Ir 0.000 0.000 0.500
14 Ir 0.000 0.500 0.000
15 Ir 0.500 0.000 0.000
16 Ir 0.500 0.500 0.500

=====

No. 6
Below is a geometry-optimized PmTlSb4 structure, with properties calculated at the GGA-PBE level.

Computed properties:
As for the uncorrected formation energy: -0.115 eV per atom.

abc: 6.333 6.333 6.333
angles: 60.00 60.00 60.00
Element x y z (fractional)
1 Pm 0.000 0.000 0.000
2 Tl 0.750 0.750 0.750
3 Sb 0.376 0.376 0.376
4 Sb 0.376 0.376 0.873
5 Sb 0.376 0.873 0.376
6 Sb 0.873 0.376 0.376